1.
{"formula": "CaAcCeBi", "functional": "GGA-PBE", "state": "optimized geometry", "cell": [[5.7801, 0.0000, 0.0000], [2.8901, 5.0057, 0.0000], [2.8901, 1.6686, 4.7195]], "species": ["Ac", "Ca", "Bi", "Ce"], "frac_coords": [[0.0000, 0.0000, 0.0000], [0.2500, 0.2500, 0.2500], [0.5000, 0.5000, 0.5000], [0.7500, 0.7500, 0.7500]], "e_tot_ev_per_atom": -4.05, "e_form_ev_per_atom": -0.07}

=====

2.
{"formula": "RbTcAgP", "functional": "GGA-PBE", "state": "optimized geometry", "cell": [[-0.1499, 1.1634, 3.7261], [-3.4977, -1.6955, 0.3887], [5.8679, -11.2462, 3.7475]], "species": ["Rb", "Rb", "Tc", "Tc", "Ag", "Ag", "P", "P"], "frac_coords": [[0.7500, 0.7500, 0.2604], [0.2500, 0.2500, 0.7396], [0.7500, 0.2500, 0.0000], [0.2500, 0.7500, 0.0000], [0.2500, 0.7500, 0.5000], [0.7500, 0.2500, 0.5000], [0.7500, 0.7500, 0.8929], [0.2500, 0.2500, 0.1071]], "e_tot_ev_per_atom": -5.12, "e_form_ev_per_atom": -0.22}

=====

3.
{"formula": "Pm2Pr8Sm3", "functional": "GGA-PBE", "state": "optimized geometry", "cell": [[5.7873, 0.0000, 0.7758], [0.0000, 7.7692, 0.0000], [-1.3920, -3.8846, 10.3448]], "species": ["Pm", "Pm", "Pr", "Pr", "Pr", "Pr", "Pr", "Pr", "Pr", "Pr", "Sm", "Sm", "Sm"], "frac_coords": [[0.4986, 0.2411, 0.4822], [0.5014, 0.7589, 0.5178], [0.0010, 0.6726, 0.3452], [0.9990, 0.3274, 0.6548], [0.9994, 0.1328, 0.2657], [0.0006, 0.8672, 0.7343], [0.4998, 0.6015, 0.7897], [0.4998, 0.1882, 0.7897], [0.5002, 0.8118, 0.2103], [0.5002, 0.3985, 0.2103], [0.5000, 0.0000, 0.0000], [0.0000, 0.2855, 0.0000], [0.0000, 0.7145, 0.0000]], "e_tot_ev_per_atom": -4.56, "e_form_ev_per_atom": 0.20, "polymorph_energy_mev_per_atom": 36.6}

=====

4.
{"formula": "Y3NiB7", "functional": "GGA-PBE", "state": "optimized geometry", "cell": [[3.4337, 0.0000, 0.0000], [-1.7169, 7.8884, 0.0000], [0.0000, 0.0000, 9.3684]], "species": ["Y", "Y", "Y", "Y", "Y", "Y", "Ni", "Ni", "B", "B", "B", "B", "B", "B", "B", "B", "B", "B", "B", "B", "B", "B"], "frac_coords": [[0.1058, 0.2116, 0.4381], [0.8942, 0.7884, 0.5619], [0.2429, 0.4858, 0.7500], [0.7571, 0.5142, 0.2500], [0.1058, 0.2116, 0.0619], [0.8942, 0.7884, 0.9381], [0.9450, 0.8901, 0.2500], [0.0550, 0.1099, 0.7500], [0.4632, 0.9265, 0.7500], [0.5368, 0.0735, 0.2500], [0.4790, 0.9580, 0.4072], [0.5210, 0.0420, 0.5928], [0.5210, 0.0420, 0.9072], [0.4790, 0.9580, 0.0928], [0.3704, 0.7408, 0.3486], [0.6296, 0.2592, 0.6514], [0.2729, 0.5457, 0.4677], [0.7271, 0.4543, 0.5323], [0.7271, 0.4543, 0.9677], [0.2729, 0.5457, 0.0323], [0.3704, 0.7408, 0.1514], [0.6296, 0.2592, 0.8486]], "e_tot_ev_per_atom": -7.05, "e_form_ev_per_atom": -0.51}

=====

5.
{"formula": "Rb2CuBr3", "functional": "GGA-PBE", "state": "optimized geometry", "cell": [[4.5489, 0.0000, 0.0000], [0.0000, 9.8491, 0.0000], [0.0000, 0.0000, 18.6274]], "species": ["Rb", "Rb", "Rb", "Rb", "Rb", "Rb", "Rb", "Rb", "Cu", "Cu", "Cu", "Cu", "Br", "Br", "Br", "Br", "Br", "Br", "Br", "Br", "Br", "Br", "Br", "Br"], "frac_coords": [[0.2500, 0.2307, 0.9522], [0.7500, 0.7693, 0.0478], [0.7500, 0.2693, 0.4522], [0.2500, 0.7307, 0.5478], [0.7500, 0.0893, 0.7101], [0.2500, 0.9107, 0.2899], [0.2500, 0.4107, 0.2101], [0.7500, 0.5893, 0.7899], [0.2500, 0.3576, 0.6377], [0.7500, 0.6424, 0.3623], [0.7500, 0.1424, 0.1377], [0.2500, 0.8576, 0.8623], [0.2500, 0.3282, 0.7703], [0.7500, 0.6718, 0.2297], [0.7500, 0.1718, 0.2703], [0.2500, 0.8282, 0.7297], [0.7500, 0.9750, 0.8912], [0.2500, 0.0250, 0.1088], [0.2500, 0.5250, 0.3912], [0.7500, 0.4750, 0.6088], [0.2500, 0.1438, 0.5698], [0.7500, 0.8562, 0.4302], [0.7500, 0.3562, 0.0698], [0.2500, 0.6438, 0.9302]], "e_tot_ev_per_atom": -3.09, "raw_formation_energy_ev_per_atom": -1.25, "polymorph_energy_mev_per_atom": 6.4}

=====

6.
{"formula": "GaH2", "functional": "GGA-PBE", "state": "optimized geometry", "cell": [[-0.7460, -0.8122, 2.4857], [-1.7522, -2.2226, 0.3464], [4.7236, -3.7907, 0.2523]], "species": ["Ga", "H", "H"], "frac_coords": [[0.5000, 0.0000, 0.0000], [0.4983, 0.9962, 0.5631], [0.5017, 0.0038, 0.4369]], "e_tot_ev_per_atom": -3.11, "polymorph_energy_mev_per_atom": 0.2}